# 1
The following is a PBE-GGA calculation of an optimized crystal structure of RbBe2RhN, from Alexandria.

abc: 3.601 5.618 3.601
angles: 90.00 90.00 90.00
Fractional positions:
N: 0.000 0.000 0.000
Rh: 0.500 0.500 0.500
Rb: 0.000 0.500 0.000
Be: 0.500 0.000 0.000
Be: 0.000 0.000 0.500

Summary:
volume	73	Å³ per cell
ΔE_f (raw)	0.7629	eV per atom
M_tot	0.00	μB/f.u.

=====

# 2
The following is a PBE-GGA calculation of an optimized crystal structure of Pr2Nd12Ho5, from Alexandria.

abc: 11.762 8.810 9.487
angles: 70.71 90.00 131.87
Fractional positions:
Nd: 0.560 0.610 0.802
Nd: 0.422 0.845 0.782
Nd: 0.578 0.155 0.218
Nd: 0.950 0.390 0.198
Nd: 0.828 0.216 0.582
Nd: 0.117 0.234 0.059
Nd: 0.612 0.784 0.418
Nd: 0.388 0.216 0.582
Nd: 0.172 0.784 0.418
Nd: 0.440 0.390 0.198
Nd: 0.050 0.610 0.802
Nd: 0.883 0.766 0.941
Ho: 0.310 0.620 0.235
Ho: 0.690 0.380 0.765
Ho: 0.804 0.608 0.339
Ho: 0.000 0.000 0.500
Ho: 0.196 0.392 0.661
Pr: 0.727 0.000 0.000
Pr: 0.273 0.000 0.000

Summary:
volume	656	Å³ per cell
M_tot	0.00	μB/f.u.
energy of formation	0.11	eV per atom

=====

# 3
The following is a PBE-GGA calculation of an optimized crystal structure of NdErTc, from Alexandria.

abc: 3.496 3.496 6.829
angles: 104.83 104.83 90.00
Fractional positions:
Er: 0.294 0.294 0.588
Nd: 0.035 0.035 0.070
Tc: 0.671 0.671 0.342

Summary:
volume	78	Å³ per cell
M_tot	0.00	μB/f.u.
energy of formation	0.03	eV per atom

=====

# 4
The following is a PBE-GGA calculation of an optimized crystal structure of LiPr2Sb3Pt4, from Alexandria.

abc: 4.565 4.565 10.533
angles: 90.00 90.00 90.00
Fractional positions:
Pt: 0.000 0.000 0.000
Pt: 0.000 0.500 0.379
Pt: 0.500 0.500 0.000
Pt: 0.500 0.000 0.621
Li: 0.500 0.500 0.500
Pr: 0.000 0.500 0.760
Pr: 0.500 0.000 0.240
Sb: 0.000 0.000 0.500
Sb: 0.500 0.000 0.865
Sb: 0.000 0.500 0.135

Summary:
volume	219	Å³ per cell
ΔE_f (raw)	-0.8785	eV per atom
M_tot	0.00	μB/f.u.

=====

# 5
The following is a PBE-GGA calculation of an optimized crystal structure of Pm12Zn3Sb5, from Alexandria.

abc: 15.636 15.636 15.636
angles: 109.47 109.47 109.47
Fractional positions:
Sb: 0.875 0.625 0.750
Sb: 0.000 0.000 0.500
Sb: 0.875 0.250 0.625
Sb: 0.000 0.500 0.500
Sb: 0.375 0.125 0.750
Sb: 0.500 0.500 0.000
Sb: 0.375 0.250 0.125
Sb: 0.750 0.125 0.875
Sb: 0.000 0.000 0.000
Sb: 0.625 0.875 0.250
Sb: 0.500 0.500 0.500
Sb: 0.750 0.625 0.375
Sb: 0.250 0.375 0.625
Sb: 0.125 0.375 0.250
Sb: 0.625 0.750 0.875
Sb: 0.250 0.875 0.125
Sb: 0.500 0.000 0.500
Sb: 0.125 0.750 0.375
Sb: 0.000 0.500 0.000
Sb: 0.500 0.000 0.000
Pm: 0.273 0.867 0.940
Pm: 0.227 0.667 0.095
Pm: 0.927 0.833 0.560
Pm: 0.773 0.440 0.367
Pm: 0.940 0.367 0.273
Pm: 0.095 0.167 0.227
Pm: 0.727 0.133 0.060
Pm: 0.573 0.633 0.405
Pm: 0.440 0.773 0.867
Pm: 0.867 0.273 0.440
Pm: 0.333 0.773 0.405
Pm: 0.560 0.333 0.927
Pm: 0.773 0.333 0.905
Pm: 0.333 0.560 0.427
Pm: 0.405 0.133 0.573
Pm: 0.833 0.927 0.060
Pm: 0.133 0.405 0.073
Pm: 0.595 0.727 0.667
Pm: 0.427 0.367 0.595
Pm: 0.167 0.073 0.940
Pm: 0.095 0.927 0.367
Pm: 0.573 0.940 0.667
Pm: 0.633 0.060 0.227
Pm: 0.167 0.095 0.727
Pm: 0.133 0.727 0.560
Pm: 0.667 0.440 0.573
Pm: 0.927 0.095 0.867
Pm: 0.633 0.573 0.905
Pm: 0.595 0.867 0.427
Pm: 0.060 0.633 0.727
Pm: 0.727 0.595 0.167
Pm: 0.940 0.573 0.167
Pm: 0.227 0.560 0.633
Pm: 0.073 0.905 0.133
Pm: 0.427 0.060 0.333
Pm: 0.560 0.227 0.133
Pm: 0.273 0.405 0.833
Pm: 0.405 0.273 0.333
Pm: 0.667 0.227 0.595
Pm: 0.367 0.427 0.095
Pm: 0.833 0.905 0.273
Pm: 0.073 0.167 0.440
Pm: 0.060 0.427 0.833
Pm: 0.367 0.940 0.773
Pm: 0.905 0.073 0.633
Pm: 0.440 0.667 0.073
Pm: 0.905 0.833 0.773
Pm: 0.867 0.595 0.927
Zn: 0.625 0.250 0.375
Zn: 0.625 0.375 0.750
Zn: 0.875 0.125 0.250
Zn: 0.250 0.625 0.875
Zn: 0.125 0.875 0.750
Zn: 0.750 0.875 0.625
Zn: 0.750 0.375 0.125
Zn: 0.375 0.750 0.625
Zn: 0.125 0.250 0.875
Zn: 0.375 0.625 0.250
Zn: 0.875 0.750 0.125
Zn: 0.250 0.125 0.375

Summary:
volume	2943	Å³ per cell
ΔE_f (raw)	-0.2017	eV per atom
M_tot	0.00	μB/f.u.

=====

# 6
The following is a PBE-GGA calculation of an optimized crystal structure of Mn5Cr2SiMo2, from Alexandria.

abc: 2.840 9.337 9.337
angles: 90.00 90.00 90.00
Fractional positions:
Mn: 0.500 0.198 0.046
Mn: 0.500 0.546 0.698
Mn: 0.500 0.046 0.802
Mn: 0.500 0.000 0.500
Mn: 0.500 0.802 0.954
Mn: 0.500 0.500 0.000
Mn: 0.500 0.698 0.454
Mn: 0.500 0.454 0.302
Mn: 0.500 0.302 0.546
Mn: 0.500 0.954 0.198
Cr: 0.000 0.134 0.634
Cr: 0.000 0.866 0.366
Cr: 0.000 0.634 0.866
Cr: 0.000 0.366 0.134
Si: 0.000 0.500 0.500
Si: 0.000 0.000 0.000
Mo: 0.000 0.821 0.679
Mo: 0.000 0.679 0.179
Mo: 0.000 0.179 0.321
Mo: 0.000 0.321 0.821

Summary:
volume	248	Å³ per cell
ΔE_f (raw)	0.1525	eV per atom
M_tot	0.00	μB/f.u.

=====

# 7
The following is a PBE-GGA calculation of an optimized crystal structure of LiPrPH, from Alexandria.

abc: 4.641 4.641 4.641
angles: 60.00 60.00 60.00
Fractional positions:
H: 0.250 0.250 0.250
P: 0.750 0.750 0.750
Li: 0.500 0.500 0.500
Pr: 0.000 0.000 0.000

Summary:
volume	71	Å³ per cell
M_tot	0.00	μB/f.u.
E	-18.230	eV for the cell shown

=====

# 8
The following is a PBE-GGA calculation of an optimized crystal structure of HfBeP2, from Alexandria.

abc: 5.515 5.515 6.616
angles: 65.37 65.37 90.00
Fractional positions:
Hf: 0.750 0.250 0.500
Hf: 0.000 0.000 0.000
Be: 0.500 0.500 0.000
Be: 0.250 0.750 0.500
P: 0.169 0.625 0.250
P: 0.375 0.419 0.750
P: 0.581 0.125 0.250
P: 0.875 0.831 0.750

Summary:
volume	163	Å³ per cell
M_tot	0.00	μB/f.u.
energy of formation	-0.39	eV per atom

=====

# 9
The following is a PBE-GGA calculation of an optimized crystal structure of YTeAs2, from Alexandria.

abc: 3.984 3.984 6.212
angles: 90.00 90.00 90.00
Fractional positions:
Te: 0.500 0.500 0.250
Y: 0.500 0.500 0.750
As: 0.000 0.000 0.550
As: 0.000 0.000 0.950

Summary:
volume	99	Å³ per cell
ΔE_f (raw)	-0.5130	eV per atom
M_tot	0.00	μB/f.u.

=====

# 10
The following is a PBE-GGA calculation of an optimized crystal structure of Na5PrHg6, from Alexandria.

abc: 5.355 7.503 8.310
angles: 90.00 71.91 90.00
Fractional positions:
Hg: 0.836 0.738 0.328
Hg: 0.836 0.262 0.328
Hg: 0.500 0.762 0.000
Hg: 0.164 0.262 0.672
Hg: 0.500 0.238 0.000
Hg: 0.164 0.738 0.672
Na: 0.674 0.000 0.653
Na: 0.337 0.500 0.328
Na: 0.326 0.000 0.347
Na: 0.663 0.500 0.672
Na: 0.000 0.500 0.000
Pr: 0.000 0.000 0.000

Summary:
volume	317	Å³ per cell
M_tot	0.00	μB/f.u.
energy of formation	-0.27	eV per atom